[1]
Computed, not measured: a crystal of Hf2CuNi2 relaxed with PBEsol at the meta-GGA SCAN level of DFT.

Output
uncorrected energy	-35.00	eV per atom
Fermi-level density of states	0.60	states/eV per atom
space-group type	No. 127

Structure (POSCAR):
```
Hf2CuNi2
1.0
6.751 0.000 0.000
0.000 6.751 0.000
0.000 0.000 3.265
Hf Cu Ni
4 2 4
Cartesian
1.181 2.195 0.000 Hf
2.195 5.570 0.000 Hf
4.556 1.181 0.000 Hf
5.570 4.556 0.000 Hf
0.000 0.000 1.633 Cu
3.375 3.375 1.633 Cu
0.852 4.227 1.633 Ni
2.523 0.852 1.633 Ni
4.227 5.898 1.633 Ni
5.898 2.523 1.633 Ni
```

=====

[2]
Computed, not measured: a crystal of La2InGa2 relaxed with PBEsol at the meta-GGA SCAN level of DFT.

Output
uncorrected energy	-31.20	eV per atom
Fermi-level density of states	0.80	states/eV per atom
space-group type	No. 127

Structure (POSCAR):
```
La2InGa2
1.0
7.386 0.000 0.000
0.000 7.386 0.000
0.000 0.000 4.631
La In Ga
4 2 4
Cartesian
1.289 2.404 0.000 La
2.404 6.097 0.000 La
4.982 1.289 0.000 La
6.097 4.982 0.000 La
0.000 0.000 2.315 In
3.693 3.693 2.315 In
0.912 4.605 2.315 Ga
2.781 0.912 2.315 Ga
4.605 6.474 2.315 Ga
6.474 2.781 2.315 Ga
```

=====

[3]
Computed, not measured: a crystal of HgTeSe3 relaxed with PBEsol at the meta-GGA SCAN level of DFT.

Output
Fermi-level density of states	1.03	states/eV per atom
space-group type	No. 221
uncorrected formation energy	72.1	kJ per mole of atoms

Structure (POSCAR):
```
HgTeSe3
1.0
5.112 0.000 0.000
0.000 5.112 0.000
0.000 0.000 5.112
Hg Te Se
1 1 3
Cartesian
0.000 0.000 0.000 Hg
2.556 2.556 2.556 Te
0.000 0.000 2.556 Se
0.000 2.556 0.000 Se
2.556 0.000 0.000 Se
```